# 1
First-principles (PBE) data for KCd2InHg after structural relaxation, as listed in the Alexandria database.

Calculated values
The calculation puts the formation energy at 0.035 eV/atom. As for the excess energy over the best structure of this formula in the dataset: 0.1522 eV/atom. Its spin magnetization is 0.00 μB/cell.

Lattice parameters (Å, degrees): 5.693 5.693 5.692 90.00 90.00 90.00
Atoms (fractional coordinates):
K  0.000  0.000  0.000
Cd  0.000  0.500  0.500
Cd  0.500  0.000  0.500
In  0.500  0.500  0.500
Hg  0.500  0.500  0.000


# 2
First-principles (PBE) data for KCdIn2Hg6 after structural relaxation, as listed in the Alexandria database.

Calculated values
The calculation puts the formation energy at -0.081 eV/atom. Its spin magnetization is 0.00 μB/cell.

Lattice parameters (Å, degrees): 9.630 9.630 8.368 108.36 108.36 114.62
Atoms (fractional coordinates):
K  0.036  0.964  0.750
K  0.964  0.036  0.250
Cd  0.325  0.675  0.250
Cd  0.675  0.325  0.750
In  0.094  0.417  0.772
In  0.417  0.094  0.272
In  0.583  0.906  0.728
In  0.906  0.583  0.228
Hg  0.048  0.724  0.985
Hg  0.187  0.543  0.503
Hg  0.276  0.952  0.515
Hg  0.344  0.366  0.265
Hg  0.366  0.344  0.765
Hg  0.457  0.813  0.997
Hg  0.543  0.187  0.003
Hg  0.634  0.656  0.235
Hg  0.656  0.634  0.735
Hg  0.724  0.048  0.485
Hg  0.813  0.457  0.497
Hg  0.952  0.276  0.015


Repeat the second record exactly.
First-principles (PBE) data for KCdIn2Hg6 after structural relaxation, as listed in the Alexandria database.

Calculated values
The calculation puts the formation energy at -0.081 eV/atom. Its spin magnetization is 0.00 μB/cell.

Lattice parameters (Å, degrees): 9.630 9.630 8.368 108.36 108.36 114.62
Atoms (fractional coordinates):
K  0.036  0.964  0.750
K  0.964  0.036  0.250
Cd  0.325  0.675  0.250
Cd  0.675  0.325  0.750
In  0.094  0.417  0.772
In  0.417  0.094  0.272
In  0.583  0.906  0.728
In  0.906  0.583  0.228
Hg  0.048  0.724  0.985
Hg  0.187  0.543  0.503
Hg  0.276  0.952  0.515
Hg  0.344  0.366  0.265
Hg  0.366  0.344  0.765
Hg  0.457  0.813  0.997
Hg  0.543  0.187  0.003
Hg  0.634  0.656  0.235
Hg  0.656  0.634  0.735
Hg  0.724  0.048  0.485
Hg  0.813  0.457  0.497
Hg  0.952  0.276  0.015


Copy entry 2 word for word.
First-principles (PBE) data for KCdIn2Hg6 after structural relaxation, as listed in the Alexandria database.

Calculated values
The calculation puts the formation energy at -0.081 eV/atom. Its spin magnetization is 0.00 μB/cell.

Lattice parameters (Å, degrees): 9.630 9.630 8.368 108.36 108.36 114.62
Atoms (fractional coordinates):
K  0.036  0.964  0.750
K  0.964  0.036  0.250
Cd  0.325  0.675  0.250
Cd  0.675  0.325  0.750
In  0.094  0.417  0.772
In  0.417  0.094  0.272
In  0.583  0.906  0.728
In  0.906  0.583  0.228
Hg  0.048  0.724  0.985
Hg  0.187  0.543  0.503
Hg  0.276  0.952  0.515
Hg  0.344  0.366  0.265
Hg  0.366  0.344  0.765
Hg  0.457  0.813  0.997
Hg  0.543  0.187  0.003
Hg  0.634  0.656  0.235
Hg  0.656  0.634  0.735
Hg  0.724  0.048  0.485
Hg  0.813  0.457  0.497
Hg  0.952  0.276  0.015


Question: What is the spin magnetization in the second record?
Answer: 0.00 μB/cell


Please write out number 2 again, unchanged.
First-principles (PBE) data for KCdIn2Hg6 after structural relaxation, as listed in the Alexandria database.

Calculated values
The calculation puts the formation energy at -0.081 eV/atom. Its spin magnetization is 0.00 μB/cell.

Lattice parameters (Å, degrees): 9.630 9.630 8.368 108.36 108.36 114.62
Atoms (fractional coordinates):
K  0.036  0.964  0.750
K  0.964  0.036  0.250
Cd  0.325  0.675  0.250
Cd  0.675  0.325  0.750
In  0.094  0.417  0.772
In  0.417  0.094  0.272
In  0.583  0.906  0.728
In  0.906  0.583  0.228
Hg  0.048  0.724  0.985
Hg  0.187  0.543  0.503
Hg  0.276  0.952  0.515
Hg  0.344  0.366  0.265
Hg  0.366  0.344  0.765
Hg  0.457  0.813  0.997
Hg  0.543  0.187  0.003
Hg  0.634  0.656  0.235
Hg  0.656  0.634  0.735
Hg  0.724  0.048  0.485
Hg  0.813  0.457  0.497
Hg  0.952  0.276  0.015